Record 1
Here is HoIn3Cu8 after structural relaxation from Alexandria. Energies are from PBE.

Output
- calculated density (g/cm3) = 9.01
- Fermi-level density of states (states/eV/cell) = 3.09
- E above lowest polymorph (eV per formula unit) = 0.28
- calculated total energy (eV/atom) = -3.922
- spin magnetization (μB/f.u.) = 0.00
- formation energy from the elements (meV per atom) = -125

abc: 5.0698 5.0698 8.4271
angles: 90.00 90.00 120.00
Space group P3m1 (No. 156)
Asymmetric unit:
Ho1 0.0000 0.0000 0.0000
In1 0.0000 0.0000 0.3734
In2 0.6667 0.3333 0.4940
In3 0.6667 0.3333 0.8654
Cu1 0.1653 0.3305 0.6799
Cu2 0.3333 0.6667 0.4325
Cu3 0.3333 0.6667 0.9273
Cu4 0.5006 0.0013 0.1853



Record 2
Here is GdPaBiSb after structural relaxation from Alexandria. Energies are from PBE.

Output
- calculated density (g/cm3) = 10.73
- Fermi-level density of states (states/eV/cell) = 10.71
- formation energy from raw total energies (eV/atom) = -0.517
- calculated total energy (eV/atom) = -8.412
- spin magnetization (μB/f.u.) = 8.89

abc: 7.6355 7.6355 7.6355
angles: 90.00 90.00 90.00
Space group F-43m (No. 216)
Asymmetric unit:
Gd1 0.0000 0.0000 0.0000
Pa1 0.0000 0.0000 0.5000
Bi1 0.2500 0.2500 0.2500
Sb1 0.2500 0.2500 0.7500



Record 3
Here is Ca8Ga2Si after structural relaxation from Alexandria. Energies are from PBE.

Output
- calculated density (g/cm3) = 2.42
- Fermi-level density of states (states/eV/cell) = 13.94
- formation energy from raw total energies (eV/atom) = -0.292
- E above lowest polymorph (eV per formula unit) = 0.00
- calculated total energy (eV/atom) = -2.791
- spin magnetization (μB/f.u.) = 0.00

abc: 18.4661 5.2547 7.3247
angles: 90.00 109.76 90.00
Space group C2/m (No. 12)
Asymmetric unit:
Ca1 0.0270 0.0000 0.2899
Ca2 0.0958 0.5000 0.9387
Ca3 0.1640 0.5000 0.4563
Ca4 0.2048 0.0000 0.8056
Ga1 0.1799 0.0000 0.1970
Si1 0.0000 0.5000 0.5000



Record 4
Here is LaScZn after structural relaxation from Alexandria. Energies are from PBE.

Output
- calculated density (g/cm3) = 5.44
- Fermi-level density of states (states/eV/cell) = 13.81
- E above lowest polymorph (eV per formula unit) = 0.34
- calculated total energy (eV/atom) = -4.268
- spin magnetization (μB/f.u.) = 0.00
- formation energy from the elements (meV per atom) = -91

abc: 4.6577 8.1089 8.0604
angles: 90.00 90.00 90.00
Space group Ima2 (No. 46)
Asymmetric unit:
La1 0.2500 0.1632 0.0000
Sc1 0.2500 0.6261 0.8097
Zn1 0.2500 0.5649 0.1561



Record 5
Here is NpZn2CuO6 after structural relaxation from Alexandria. Energies are from PBE.

Output
- calculated density (g/cm3) = 6.78
- Fermi-level density of states (states/eV/cell) = 9.85
- formation energy from raw total energies (eV/atom) = -1.738
- calculated total energy (eV/atom) = -6.671
- spin magnetization (μB/f.u.) = 0.01

abc: 9.9670 5.5369 5.1170
angles: 90.00 113.75 90.00
Space group C2/m (No. 12)
Asymmetric unit:
Np1 0.0000 0.0000 0.0000
Zn1 0.2393 0.0000 0.6340
Cu1 0.0000 0.5000 0.5000
O1 0.0969 0.2612 0.3474
O2 0.1823 0.0000 0.9583



Record 6
Here is SrBe2Cu after structural relaxation from Alexandria. Energies are from PBE.

Output
- calculated density (g/cm3) = 3.57
- Fermi-level density of states (states/eV/cell) = 9.08
- E above lowest polymorph (eV per formula unit) = 0.96
- calculated total energy (eV/atom) = -3.027
- spin magnetization (μB/f.u.) = 0.00
- formation energy from the elements (meV per atom) = 281

abc: 4.4647 4.4647 15.7764
angles: 90.00 90.00 90.00
Space group I4_1/amd (No. 141, origin choice 2)
Asymmetric unit:
Sr1 0.0000 0.2500 0.3750
Be1 0.0000 0.0000 0.0000
Cu1 0.0000 0.2500 0.8750



Record 7
Here is Ca2Cu15Ag2 after structural relaxation from Alexandria. Energies are from PBE.

Output
- calculated density (g/cm3) = 7.44
- Fermi-level density of states (states/eV/cell) = 22.72
- calculated total energy (eV/atom) = -3.798
- spin magnetization (μB/f.u.) = 0.00
- formation energy from the elements (meV per atom) = -54

abc: 8.7365 8.7365 12.6470
angles: 90.00 90.00 120.00
Space group R-3m (No. 166, hexagonal axes)
Asymmetric unit:
Ca1 0.0000 0.0000 0.1538
Cu1 0.0000 0.3009 0.5000
Cu2 0.0000 0.5000 0.0000
Cu3 0.0032 0.5016 0.6551
Ag1 0.0000 0.0000 0.3951



Record 8
Here is LaInSe after structural relaxation from Alexandria. Energies are from PBE.

Output
- calculated density (g/cm3) = 5.74
- Fermi-level density of states (states/eV/cell) = 5.30
- formation energy from raw total energies (eV/atom) = -0.949
- E above lowest polymorph (eV per formula unit) = 0.68
- calculated total energy (eV/atom) = -4.666
- spin magnetization (μB/f.u.) = 0.00

abc: 4.1087 4.1087 11.4103
angles: 90.00 90.00 90.00
Space group I4mm (No. 107)
Asymmetric unit:
La1 0.0000 0.0000 0.0000
In1 0.0000 0.0000 0.3109
Se1 0.0000 0.0000 0.5627



Q: Look up the Fermi-level density of states of the fifth one.
A: 9.85 states/eV/cell



Q: The highest Fermi-level density of states belongs to which entry?
A: Ca2Cu15Ag2